A PBEsol-optimized structure of La5Pt. Source: Alexandria via LeMat-Bulk, functional meta-GGA SCAN.

Lattice parameters (Å, degrees): 3.6730 3.6730 13.2625 90.00 90.00 90.00
Last column: nearest neighbours and their distance in Å.
Fractional coordinates of all 6 atoms:
La 0.0000 0.0000 0.0000  12 La 3.59-3.67
La 0.0000 0.0000 0.3731  4 Pt 3.09, 1 La 3.37
La 0.0000 0.0000 0.6269  4 Pt 3.09, 1 La 3.37
La 0.5000 0.5000 0.1863  12 La 3.59-3.67
La 0.5000 0.5000 0.8137  12 La 3.59-3.67
Pt 0.5000 0.5000 0.5000  8 La 3.09

## Properties
As for the calculated formation energy: -0.40 eV/atom. As for the crystal system: tetragonal. Its energy above the most stable polymorph in this dataset is 24.4 meV per atom. Its space group is P4/mmm, No. 123.

A PBEsol-optimized structure of ZnCrP2S. Source: Alexandria via LeMat-Bulk, functional meta-GGA SCAN.

Lattice parameters (Å, degrees): 4.3766 4.3766 4.4865 90.00 90.00 90.00
Last column: nearest neighbours and their distance in Å.
Fractional coordinates of all 5 atoms:
Zn 0.0000 0.0000 0.0000  4 S 3.09, 8 P 3.13
Cr 0.5000 0.5000 0.5000  4 P 2.19, 2 S 2.24
P 0.0000 0.5000 0.5000  2 Cr 2.19
P 0.5000 0.0000 0.5000  2 Cr 2.19
S 0.5000 0.5000 0.0000  2 Cr 2.24

## Properties
The calculation puts the energy relative to the elements, uncorrected at 0.5069 eV per atom. As for the crystal system: tetragonal. Its space group is P4/mmm, No. 123.

A PBEsol-optimized structure of Li2Mn3NbO8. Source: Alexandria via LeMat-Bulk, functional meta-GGA SCAN.

Lattice parameters (Å, degrees): 8.1743 8.1743 8.1743 90.00 90.00 90.00
Last column: nearest neighbours and their distance in Å.
Fractional coordinates of all 56 atoms:
Li 0.0066 0.4934 0.5066  4 O 1.89-1.93
Li 0.2434 0.7434 0.7566  4 O 1.89-1.93
Li 0.2566 0.2566 0.2566  4 O 1.89-1.93
Li 0.4934 0.5066 0.0066  4 O 1.89-1.93
Li 0.5066 0.0066 0.4934  4 O 1.89-1.93
Li 0.7434 0.7566 0.2434  4 O 1.89-1.93
Li 0.7566 0.2434 0.7434  4 O 1.89-1.93
Li 0.9934 0.9934 0.9934  4 O 1.89-1.93
Mn 0.1232 0.1268 0.6250  6 O 1.91-1.94
Mn 0.1250 0.3768 0.8732  6 O 1.91-1.94
Mn 0.1268 0.6250 0.1232  6 O 1.91-1.94
Mn 0.3732 0.3750 0.6232  6 O 1.91-1.94
Mn 0.3750 0.6232 0.3732  6 O 1.91-1.94
Mn 0.3768 0.8732 0.1250  6 O 1.91-1.94
Mn 0.6232 0.3732 0.3750  6 O 1.91-1.94
Mn 0.6250 0.1232 0.1268  6 O 1.91-1.94
Mn 0.6268 0.8750 0.8768  6 O 1.91-1.94
Mn 0.8732 0.1250 0.3768  6 O 1.91-1.94
Mn 0.8750 0.8768 0.6268  6 O 1.91-1.94
Mn 0.8768 0.6268 0.8750  6 O 1.91-1.94
Nb 0.1250 0.8750 0.3750  6 O 2.05
Nb 0.3750 0.1250 0.8750  6 O 2.05
Nb 0.6250 0.6250 0.6250  6 O 2.05
Nb 0.8750 0.3750 0.1250  6 O 2.05
O 0.1096 0.6096 0.8904  1 Li 1.89, 3 Mn 1.91
O 0.1109 0.1253 0.3874  1 Li 1.93, 2 Mn 1.94, 1 Nb 2.05
O 0.1126 0.8891 0.6253  1 Li 1.93, 2 Mn 1.94, 1 Nb 2.05
O 0.1247 0.1391 0.8626  1 Li 1.93, 2 Mn 1.94, 1 Nb 2.05
O 0.1253 0.3874 0.1109  1 Li 1.93, 2 Mn 1.94, 1 Nb 2.05
O 0.1374 0.6247 0.3609  1 Li 1.93, 2 Mn 1.94, 1 Nb 2.05
O 0.1391 0.8626 0.1247  1 Li 1.93, 2 Mn 1.94, 1 Nb 2.05
O 0.1404 0.3596 0.6404  1 Li 1.89, 3 Mn 1.91
O 0.3596 0.6404 0.1404  1 Li 1.89, 3 Mn 1.91
O 0.3609 0.1374 0.6247  1 Li 1.93, 2 Mn 1.94, 1 Nb 2.05
O 0.3626 0.3753 0.8609  1 Li 1.93, 2 Mn 1.94, 1 Nb 2.05
O 0.3747 0.6126 0.6109  1 Li 1.93, 2 Mn 1.94, 1 Nb 2.05
O 0.3753 0.8609 0.3626  1 Li 1.93, 2 Mn 1.94, 1 Nb 2.05
O 0.3874 0.1109 0.1253  1 Li 1.93, 2 Mn 1.94, 1 Nb 2.05
O 0.3891 0.8747 0.8874  1 Li 1.93, 2 Mn 1.94, 1 Nb 2.05
O 0.3904 0.3904 0.3904  1 Li 1.89, 3 Mn 1.91
O 0.6096 0.8904 0.1096  1 Li 1.89, 3 Mn 1.91
O 0.6109 0.3747 0.6126  1 Li 1.93, 2 Mn 1.94, 1 Nb 2.05
O 0.6126 0.6109 0.3747  1 Li 1.93, 2 Mn 1.94, 1 Nb 2.05
O 0.6253 0.1126 0.8891  1 Li 1.93, 2 Mn 1.94, 1 Nb 2.05
O 0.6247 0.3609 0.1374  1 Li 1.93, 2 Mn 1.94, 1 Nb 2.05
O 0.6374 0.8753 0.6391  1 Li 1.93, 2 Mn 1.94, 1 Nb 2.05
O 0.6391 0.6374 0.8753  1 Li 1.93, 2 Mn 1.94, 1 Nb 2.05
O 0.6404 0.1404 0.3596  1 Li 1.89, 3 Mn 1.91
O 0.8596 0.8596 0.8596  1 Li 1.89, 3 Mn 1.91
O 0.8609 0.3626 0.3753  1 Li 1.93, 2 Mn 1.94, 1 Nb 2.05
O 0.8626 0.1247 0.1391  1 Li 1.93, 2 Mn 1.94, 1 Nb 2.05
O 0.8753 0.6391 0.6374  1 Li 1.93, 2 Mn 1.94, 1 Nb 2.05
O 0.8747 0.8874 0.3891  1 Li 1.93, 2 Mn 1.94, 1 Nb 2.05
O 0.8874 0.3891 0.8747  1 Li 1.93, 2 Mn 1.94, 1 Nb 2.05
O 0.8891 0.6253 0.1126  1 Li 1.93, 2 Mn 1.94, 1 Nb 2.05
O 0.8904 0.1096 0.6096  1 Li 1.89, 3 Mn 1.91

## Properties
The calculation puts the energy relative to the elements, uncorrected at -2.2738 eV per atom. As for the crystal system: cubic. Its energy above the most stable polymorph in this dataset is 106.0 meV per atom. Its space group is P4_332, No. 212.

A PBEsol-optimized structure of Ba2ZrTiZn. Source: Alexandria via LeMat-Bulk, functional meta-GGA SCAN.

Lattice parameters (Å, degrees): 5.8032 5.8032 4.9037 90.00 90.00 90.00
Last column: nearest neighbours and their distance in Å.
Fractional coordinates of all 5 atoms:
Ba 0.0000 0.5000 0.0000  2 Ti 2.90
Ba 0.5000 0.0000 0.0000  2 Ti 2.90
Zr 0.0000 0.0000 0.5000  8 Ba 3.80, 4 Zn 4.10
Ti 0.5000 0.5000 0.0000  2 Zn 2.45
Zn 0.5000 0.5000 0.5000  2 Ti 2.45

## Properties
As for the calculated formation energy: 1.11 eV/atom. As for the crystal system: tetragonal. Its space group is P4/mmm, No. 123.

Number 1: total energy -48.0230 eV per atom, M_tot 0.00 μB/f.u.. Number 2: total energy -11.9581 eV per atom, M_tot 0.00 μB/f.u.. Number 3: total energy -12.4541 eV per atom, M_tot 6.00 μB/f.u.. Number 4: total energy -26.7540 eV per atom, M_tot 5.47 μB/f.u..